Arrangement A

## CaHgH (PBE-GGA)

Data for a relaxed structure of CaHgH.

The calculation puts the calculated density at 6.8 g/cm³. As for the crystal system: orthorhombic. The calculated volume is 19.6 Å³ per atom.

The space group is Ima2 (No. 46) and the conventional cell measures 3.961, 11.358 and 5.238 Å, with angles of 90.00, 90.00 and 90.00 degrees. The asymmetric unit holds Ca at (0.250, 0.131, 0.000), Hg at (0.250, 0.617, 0.016) and H at (0.250, 0.562, 0.598).

***

Arrangement B

## CaHgH (PBE-GGA)

Data for a relaxed structure of CaHgH.

The calculation puts the calculated density at 6.6 g/cm³. As for the crystal system: monoclinic. The calculated volume is 20.3 Å³ per atom.

The space group is Cm (No. 8) and the conventional cell measures 6.194, 4.206 and 9.355 Å, with angles of 90.00, 92.08 and 90.00 degrees. The asymmetric unit holds Ca at (0.000, 0.000, 0.000), Ca at (0.046, 0.500, 0.309), Hg at (0.125, 0.500, 0.765), Hg at (0.204, 0.000, 0.546), H at (0.373, 0.000, 0.077) and H at (0.407, 0.500, 0.241).

***

Stability check: which of them is least stable? arrangement B.